(1)
Below is an optimized crystal structure of RhSe2Br, with properties calculated at the PBE level.

a b c (Å): 3.4861 3.4861 26.8062
angles (deg): 90.00 90.00 120.00
Space group R3m (No. 160, hexagonal axes)
Unique sites:
Rh  0.0000  0.0000  0.0000 [3 per cell]
Se  0.0000  0.0000  0.4722 [3 per cell]
Se  0.0000  0.0000  0.7160 [3 per cell]
Br  0.0000  0.0000  0.2685 [3 per cell]

Values from the calculation:
total moment: 0.0 μB/f.u.
V: 23.51 Å³/atom
formation energy without anion corrections: 0.07 eV/f.u.
energy relative to the lowest polymorph listed for this composition: 1.31 eV/f.u.
calculated total energy: -3.982 eV per atom

---

(2)
Below is an optimized crystal structure of RhS2I, with properties calculated at the PBE level.

a b c (Å): 6.641 6.641 9.063
angles (deg): 90.00 90.00 90.00
Space group I-42d (No. 122)
Unique sites:
Rh  0.000  0.000  0.000 [4 per cell]
S  0.150  0.750  0.125 [8 per cell]
I  0.000  0.000  0.500 [4 per cell]

Values from the calculation:
total moment: 0.0 μB/f.u.
V: 24.99 Å³/atom
formation energy without anion corrections: 0.49 eV/f.u.
energy relative to the lowest polymorph listed for this composition: 1.36 eV/f.u.
calculated total energy: -4.166 eV per atom

---

(3)
Below is an optimized crystal structure of PrDy2HoS6, with properties calculated at the PBE level.

a b c (Å): 6.9920 6.9920 18.5825
angles (deg): 90.00 90.00 120.00
Space group R3 (No. 146, hexagonal axes)
Unique sites:
Pr  0.0000  0.0000  0.0000 [3 per cell]
Dy  0.0000  0.0000  0.2907 [3 per cell]
Dy  0.0000  0.0000  0.7949 [3 per cell]
Ho  0.0000  0.0000  0.4929 [3 per cell]
S  0.0014  0.3055  0.8912 [9 per cell]
S  0.0217  0.7184  0.3921 [9 per cell]

Values from the calculation:
total moment: 0.0 μB/f.u.
V: 26.23 Å³/atom
formation energy without anion corrections: -20.44 eV/f.u.
calculated total energy: -6.377 eV per atom

---

(4)
Below is an optimized crystal structure of Tl2CdS4, with properties calculated at the PBE level.

a b c (Å): 5.776 5.776 5.841
angles (deg): 90.00 90.00 90.00
Space group P-42m (No. 111)
Unique sites:
Tl  0.000  0.500  0.000 [2 per cell]
Cd  0.000  0.000  0.500 [1 per cell]
S  0.268  0.268  0.731 [4 per cell]

Values from the calculation:
total moment: 0.0 μB/f.u.
V: 27.84 Å³/atom
formation energy without anion corrections: -1.66 eV/f.u.
calculated total energy: -3.402 eV per atom

---

Q: Among the records above, which one has the lowest calculated total energy?
A: PrDy2HoS6